No. 1
A geometry-optimized Sc3AuO structure. Source: Alexandria via LeMat-Bulk, functional PBE-GGA.

a = 6.757 Å, b = 6.757 Å, c = 8.746 Å
α = 91.16°, β = 91.16°, γ = 29.91°
Sites, in units of the cell vectors:
Sc 0.027 0.027 0.288
Sc 0.250 0.250 0.682
Sc 0.357 0.357 0.019
Sc 0.643 0.643 0.981
Sc 0.750 0.750 0.318
Sc 0.973 0.973 0.712
Au 0.396 0.396 0.443
Au 0.604 0.604 0.557
O 0.206 0.206 0.901
O 0.794 0.794 0.099

Calculated values
Space group   C2/m (12)
Crystal system   monoclinic
N(E_F)   0.875 states/eV per atom
ΔE_f (raw)   -1.43 eV/atom

=====

No. 2
A geometry-optimized Pm3PrY structure. Source: Alexandria via LeMat-Bulk, functional PBE-GGA.

a = 11.396 Å, b = 11.396 Å, c = 8.692 Å
α = 105.59°, β = 105.59°, γ = 18.63°
Sites, in units of the cell vectors:
Pm 0.017 0.017 0.215
Pm 0.184 0.184 0.384
Pm 0.382 0.382 0.981
Pm 0.618 0.618 0.019
Pm 0.816 0.816 0.616
Pm 0.983 0.983 0.785
Pr 0.415 0.415 0.412
Pr 0.585 0.585 0.588
Y 0.218 0.218 0.820
Y 0.782 0.782 0.180

Calculated values
Energy of formation   0.0257 eV/atom
Space group   C2/m (12)
Crystal system   monoclinic
N(E_F)   1.747 states/eV per atom

=====

Ordered energy results: -0.253 -0.186; unit Ha/atom.